--- w ---
{
  "formula": "HfNb2HgH",
  "functional": "PBE",
  "state": "relaxed",
  "lattice_angstrom": [[4.0959, 0.0000, 0.0000], [0.0000, 4.0959, 0.0000], [0.0000, 0.0000, 4.8207]],
  "species": ["Hf", "Nb", "Nb", "Hg", "H"],
  "fractional_positions": [[0.0000, 0.0000, 0.0000], [0.0000, 0.5000, 0.5000], [0.5000, 0.0000, 0.5000], [0.5000, 0.5000, 0.0000], [0.5000, 0.5000, 0.5000]],
  "volume_a3_per_cell": 80.9,
  "total_magnetization_mub_per_cell": 0.0
}



--- x ---
{
  "formula": "HfNb2HgH",
  "functional": "PBE",
  "state": "relaxed",
  "lattice_angstrom": [[4.1628, 0.0000, 0.0000], [0.0000, 4.1628, 0.0000], [0.0000, 0.0000, 4.5828]],
  "species": ["Hf", "Nb", "Nb", "Hg", "H"],
  "fractional_positions": [[0.0000, 0.0000, 0.0000], [0.0000, 0.5000, 0.5000], [0.5000, 0.0000, 0.5000], [0.5000, 0.5000, 0.0000], [0.0000, 0.0000, 0.5000]],
  "volume_a3_per_cell": 79.4,
  "total_magnetization_mub_per_cell": 0.0
}



What should be chosen as the most stable of them? Choose x.



--- w ---
{
  "formula": "Hf2HgHPd",
  "functional": "PBE",
  "state": "relaxed",
  "lattice_angstrom": [[4.4201, 0.0000, 0.0000], [0.0000, 4.4201, 0.0000], [0.0000, 0.0000, 4.0821]],
  "species": ["Hf", "Hf", "Hg", "H", "Pd"],
  "fractional_positions": [[0.0000, 0.5000, 0.0000], [0.5000, 0.0000, 0.0000], [0.0000, 0.0000, 0.5000], [0.5000, 0.5000, 0.0000], [0.5000, 0.5000, 0.5000]],
  "volume_a3_per_cell": 79.8,
  "total_magnetization_mub_per_cell": 0.4
}



--- x ---
{
  "formula": "Hf2HgHPd",
  "functional": "PBE",
  "state": "relaxed",
  "lattice_angstrom": [[5.2246, 0.0000, 0.0000], [0.0000, 5.2246, 0.0000], [0.0000, 0.0000, 5.0145]],
  "species": ["Hf", "Hf", "Hg", "H", "Pd"],
  "fractional_positions": [[0.0000, 0.5000, 0.0000], [0.5000, 0.0000, 0.0000], [0.0000, 0.0000, 0.0000], [0.5000, 0.5000, 0.5000], [0.0000, 0.0000, 0.5000]],
  "volume_a3_per_cell": 136.9,
  "total_magnetization_mub_per_cell": 0.0
}



What should be chosen as the most stable of them? Choose w.